Entry 1:
First-principles (PBE-GGA) data for a relaxed Ac2Zr2Se7 crystal, as listed in Alexandria via LeMat-Bulk.

Cell and atoms, written as CIF:
```
data_Ac2Zr2Se7
_space_group_name_H-M_alt 'P 1'
_space_group_IT_number 1
_space_group_name_Hall 'P 1'
_cell_length_a 7.964
_cell_length_b 7.964
_cell_length_c 7.264
_cell_angle_alpha 94.66
_cell_angle_beta 94.66
_cell_angle_gamma 113.41
loop_
_atom_site_label
_atom_site_type_symbol
_atom_site_fract_x
_atom_site_fract_y
_atom_site_fract_z
Ac1 Ac 0.184 0.816 0.000
Ac2 Ac 0.816 0.184 0.000
Zr1 Zr 0.235 0.235 0.610
Zr2 Zr 0.765 0.765 0.390
Se1 Se 0.068 0.068 0.274
Se2 Se 0.105 0.445 0.780
Se3 Se 0.445 0.105 0.780
Se4 Se 0.500 0.500 0.500
Se5 Se 0.555 0.895 0.220
Se6 Se 0.895 0.555 0.220
Se7 Se 0.932 0.932 0.726
```

Properties
* space group: C2/m
* formation energy from raw total energies: -1.4932 eV/atom



Entry 2:
First-principles (PBE-GGA) data for a relaxed Li2TcNi crystal, as listed in Alexandria via LeMat-Bulk.

Cell and atoms, written as CIF:
```
data_Li2TcNi
_space_group_name_H-M_alt 'P 1'
_space_group_IT_number 1
_space_group_name_Hall 'P 1'
_cell_length_a 5.229
_cell_length_b 5.229
_cell_length_c 5.229
_cell_angle_alpha 101.88
_cell_angle_beta 101.88
_cell_angle_gamma 126.03
loop_
_atom_site_label
_atom_site_type_symbol
_atom_site_fract_x
_atom_site_fract_y
_atom_site_fract_z
Li1 Li 0.103 0.125 0.478
Li2 Li 0.375 0.897 0.022
Li3 Li 0.647 0.625 0.522
Li4 Li 0.875 0.353 0.978
Tc1 Tc 0.250 0.750 0.500
Tc2 Tc 0.500 0.500 0.000
Ni1 Ni 0.000 0.000 0.000
Ni2 Ni 0.750 0.250 0.500
```

Properties
* space group: I-42d
* density of states at the Fermi level: 6.01 states/eV per cell
* formation energy: 2.613 eV per formula unit
* energy above the lowest structure with this stoichiometry: 0.568 eV per atom



Entry 3:
First-principles (PBE-GGA) data for a relaxed Tb2PmNd6Sm crystal, as listed in Alexandria via LeMat-Bulk.

Cell and atoms, written as CIF:
```
data_Tb2PmNd6Sm
_space_group_name_H-M_alt 'P 1'
_space_group_IT_number 1
_space_group_name_Hall 'P 1'
_cell_length_a 8.983
_cell_length_b 8.983
_cell_length_c 9.807
_cell_angle_alpha 94.15
_cell_angle_beta 94.15
_cell_angle_gamma 117.66
loop_
_atom_site_label
_atom_site_type_symbol
_atom_site_fract_x
_atom_site_fract_y
_atom_site_fract_z
Tb1 Tb 0.197 0.294 0.046
Tb2 Tb 0.294 0.197 0.546
Tb3 Tb 0.706 0.803 0.454
Tb4 Tb 0.803 0.706 0.954
Pm1 Pm 0.408 0.592 0.750
Pm2 Pm 0.592 0.408 0.250
Nd1 Nd 0.015 0.567 0.185
Nd2 Nd 0.114 0.756 0.555
Nd3 Nd 0.244 0.886 0.945
Nd4 Nd 0.295 0.509 0.380
Nd5 Nd 0.433 0.985 0.315
Nd6 Nd 0.491 0.705 0.120
Nd7 Nd 0.509 0.295 0.880
Nd8 Nd 0.567 0.015 0.685
Nd9 Nd 0.705 0.491 0.620
Nd10 Nd 0.756 0.114 0.055
Nd11 Nd 0.886 0.244 0.445
Nd12 Nd 0.985 0.433 0.815
Sm1 Sm 0.027 0.973 0.250
Sm2 Sm 0.973 0.027 0.750
```

Properties
* space group: C2/c
* density of states at the Fermi level: 29.65 states/eV per cell
* formation energy: 1.140 eV per formula unit



Entry 4:
First-principles (PBE-GGA) data for a relaxed CaCrAu4 crystal, as listed in Alexandria via LeMat-Bulk.

Cell and atoms, written as CIF:
```
data_CaCrAu4
_space_group_name_H-M_alt 'P 1'
_space_group_IT_number 1
_space_group_name_Hall 'P 1'
_cell_length_a 5.578
_cell_length_b 5.578
_cell_length_c 5.578
_cell_angle_alpha 60.00
_cell_angle_beta 60.00
_cell_angle_gamma 60.00
loop_
_atom_site_label
_atom_site_type_symbol
_atom_site_fract_x
_atom_site_fract_y
_atom_site_fract_z
Ca1 Ca 0.000 0.000 0.000
Cr1 Cr 0.750 0.750 0.750
Au1 Au 0.375 0.375 0.375
Au2 Au 0.375 0.375 0.874
Au3 Au 0.375 0.874 0.375
Au4 Au 0.874 0.375 0.375
```

Properties
* space group: F-43m
* density of states at the Fermi level: 3.28 states/eV per cell
* formation energy: -1.156 eV per formula unit



Entry 5:
First-principles (PBE-GGA) data for a relaxed ScSb2Mo crystal, as listed in Alexandria via LeMat-Bulk.

Cell and atoms, written as CIF:
```
data_ScSb2Mo
_space_group_name_H-M_alt 'P 1'
_space_group_IT_number 1
_space_group_name_Hall 'P 1'
_cell_length_a 3.372
_cell_length_b 3.372
_cell_length_c 7.250
_cell_angle_alpha 90.00
_cell_angle_beta 90.00
_cell_angle_gamma 90.00
loop_
_atom_site_label
_atom_site_type_symbol
_atom_site_fract_x
_atom_site_fract_y
_atom_site_fract_z
Sc1 Sc 0.000 0.000 0.000
Sb1 Sb 0.500 0.500 0.277
Sb2 Sb 0.500 0.500 0.723
Mo1 Mo 0.000 0.000 0.500
```

Properties
* space group: P4/mmm
* density of states at the Fermi level: 3.59 states/eV per cell
* formation energy from raw total energies: -0.2090 eV/atom
* energy above the lowest structure with this stoichiometry: 0.002 eV per atom



Entry 6:
First-principles (PBE-GGA) data for a relaxed Zn2CoBr crystal, as listed in Alexandria via LeMat-Bulk.

Cell and atoms, written as CIF:
```
data_Zn2CoBr
_space_group_name_H-M_alt 'P 1'
_space_group_IT_number 1
_space_group_name_Hall 'P 1'
_cell_length_a 3.245
_cell_length_b 3.245
_cell_length_c 8.470
_cell_angle_alpha 90.00
_cell_angle_beta 90.00
_cell_angle_gamma 123.88
loop_
_atom_site_label
_atom_site_type_symbol
_atom_site_fract_x
_atom_site_fract_y
_atom_site_fract_z
Zn1 Zn 0.000 0.000 0.000
Zn2 Zn 0.500 0.500 0.249
Co1 Co 0.000 0.000 0.476
Br1 Br 0.500 0.500 0.695
```

Properties
* space group: Cmm2
* density of states at the Fermi level: 2.92 states/eV per cell
* formation energy from raw total energies: 0.3736 eV/atom
* energy above the lowest structure with this stoichiometry: 0.277 eV per atom



Question: Number 4 is which compound?
Answer: CaCrAu4



Question: What is the formula in the sixth record?
Answer: Zn2CoBr